[1]
VASP calculation (GGA-PBE) on a relaxed BeTlOs2O8 crystal.

POSCAR file:
```
BeTlOs2O8
1.0
5.2275 0.0000 0.0000
-2.6137 4.5271 0.0000
0.0000 0.0000 8.0873
O Tl Os Be
8 1 2 1
direct
0.7420 0.0484 0.3647
0.9516 0.6936 0.3647
0.3333 0.6667 0.9172
0.6936 0.7420 0.6353
0.6667 0.3333 0.0828
0.3064 0.2580 0.3647
0.2580 0.9516 0.6353
0.0484 0.3064 0.6353
0.0000 0.0000 0.0000
0.3333 0.6667 0.6970
0.6667 0.3333 0.3030
0.0000 0.0000 0.5000
```

SG	No. 147
mass density	6.263	g/cm³
VASP energy	-6.70	eV per atom
formation energy without anion corrections	-1011	meV/atom

=====

[2]
VASP calculation (GGA-PBE) on a relaxed Be2TlOsO crystal.

POSCAR file:
```
Be2TlOsO
1.0
4.5940 0.0000 0.0000
0.0000 4.1170 0.0000
0.0000 0.0000 4.5940
O Be Tl Os
1 2 1 1
direct
0.0000 0.5000 0.0000
0.0000 0.0000 0.5000
0.5000 0.0000 0.0000
0.0000 0.0000 0.0000
0.5000 0.5000 0.5000
```

SG	No. 123
mass density	8.192	g/cm³
VASP energy	-3.30	eV per atom
formation energy without anion corrections	1901	meV/atom

=====

Among the records above, which one has the highest VASP energy?
Be2TlOsO

=====

Which value of formation energy without anion corrections does entry 2 give?
1901 meV/atom

=====

What did the second record say?
VASP calculation (GGA-PBE) on a relaxed Be2TlOsO crystal.

POSCAR file:
```
Be2TlOsO
1.0
4.5940 0.0000 0.0000
0.0000 4.1170 0.0000
0.0000 0.0000 4.5940
O Be Tl Os
1 2 1 1
direct
0.0000 0.5000 0.0000
0.0000 0.0000 0.5000
0.5000 0.0000 0.0000
0.0000 0.0000 0.0000
0.5000 0.5000 0.5000
```

SG	No. 123
mass density	8.192	g/cm³
VASP energy	-3.30	eV per atom
formation energy without anion corrections	1901	meV/atom